## P
Ce2ZrNi after structural relaxation. Source: Alexandria via LeMat-Bulk, functional GGA-PBE.

The structure in extended XYZ format:
```
4
Lattice="-1.6160 1.8897 -1.8496 -2.3193 -1.1255 -1.7197 -8.0276 2.1577 6.6221" Properties=species:S:1:pos:R:3 pbc="T T T"
Ce -5.8709 1.3126 -1.3177
Ni -5.9814 1.4609 1.5264
Zr 0.0000 0.0000 0.0000
Ce -6.0919 1.6092 4.3705
```

Properties
Magnetic moment, Bohr magnetons per cell: 0.0

## Q
Ce2ZrNi after structural relaxation. Source: Alexandria via LeMat-Bulk, functional GGA-PBE.

The structure in extended XYZ format:
```
4
Lattice="3.3045 0.0000 0.0000 0.0000 3.3045 0.0000 0.0000 0.0000 8.3971" Properties=species:S:1:pos:R:3 pbc="T T T"
Zr 1.6522 1.6522 4.1985
Ce 0.0000 0.0000 6.6538
Ni 1.6522 1.6522 0.0000
Ce 0.0000 0.0000 1.7433
```

Properties
Magnetic moment, Bohr magnetons per cell: 0.0

What should be chosen as the most stable of them? Choose Q.

## P
CeZr2Ni after structural relaxation. Source: Alexandria via LeMat-Bulk, functional GGA-PBE.

The structure in extended XYZ format:
```
4
Lattice="4.2479 0.0000 0.0000 2.1239 3.6788 0.0000 2.1239 1.2263 5.8574" Properties=species:S:1:pos:R:3 pbc="T T T"
Ni 6.3718 3.6788 5.6554
Zr 2.1239 1.2263 4.9081
Ce 4.2479 2.4525 3.0541
Zr 2.1239 1.2263 1.0258
```

Properties
Magnetic moment, Bohr magnetons per cell: 1.2

## Q
CeZr2Ni after structural relaxation. Source: Alexandria via LeMat-Bulk, functional GGA-PBE.

The structure in extended XYZ format:
```
4
Lattice="3.2450 0.0000 0.0000 0.0000 3.2450 0.0000 0.0000 0.0000 7.9657" Properties=species:S:1:pos:R:3 pbc="T T T"
Ni 1.6225 1.6225 0.0000
Ce 1.6225 1.6225 3.9829
Zr 0.0000 0.0000 6.3910
Zr 0.0000 0.0000 1.5747
```

Properties
Magnetic moment, Bohr magnetons per cell: 0.1

What should be chosen as the most stable of them? Choose Q.

## P
CeNpO2 after structural relaxation. Source: Alexandria via LeMat-Bulk, functional GGA-PBE.

The structure in extended XYZ format:
```
4
Lattice="3.0572 0.0000 0.0000 0.0000 4.3509 0.0000 0.0000 0.0000 4.3509" Properties=species:S:1:pos:R:3 pbc="T T T"
O 0.0000 0.0000 2.1754
O 0.0000 2.1754 0.0000
Np 1.5286 2.1754 2.1754
Ce 1.5286 0.0000 0.0000
```

Properties
Magnetic moment, Bohr magnetons per cell: 6.0

## Q
CeNpO2 after structural relaxation. Source: Alexandria via LeMat-Bulk, functional GGA-PBE.

The structure in extended XYZ format:
```
4
Lattice="3.4850 0.0000 0.0000 1.7425 3.0181 0.0000 1.7425 1.0060 5.6901" Properties=species:S:1:pos:R:3 pbc="T T T"
Np 3.4850 2.0121 2.8450
Ce 0.0000 0.0000 0.0000
O 5.2275 3.0181 4.1921
O 1.7425 1.0060 1.4979
```

Properties
Magnetic moment, Bohr magnetons per cell: 3.9

What should be chosen as the most stable of them? Choose Q.

## P
CeNpOs2 after structural relaxation. Source: Alexandria via LeMat-Bulk, functional GGA-PBE.

The structure in extended XYZ format:
```
4
Lattice="3.2634 0.0000 0.0000 0.0000 3.2634 0.0000 0.0000 0.0000 7.4664" Properties=species:S:1:pos:R:3 pbc="T T T"
Ce 1.6317 1.6317 3.7332
Os 0.0000 0.0000 1.6903
Np 1.6317 1.6317 0.0000
Os 0.0000 0.0000 5.7761
```

Properties
Magnetic moment, Bohr magnetons per cell: 3.3

## Q
CeNpOs2 after structural relaxation. Source: Alexandria via LeMat-Bulk, functional GGA-PBE.

The structure in extended XYZ format:
```
4
Lattice="4.8369 0.0000 0.0000 2.4184 4.1889 0.0000 2.4184 1.3963 3.9493" Properties=species:S:1:pos:R:3 pbc="T T T"
Os 2.4184 1.3963 0.9873
Os 7.2553 4.1889 2.9620
Ce 4.8369 2.7926 1.9746
Np 0.0000 0.0000 0.0000
```

Properties
Magnetic moment, Bohr magnetons per cell: 3.2

What should be chosen as the most stable of them? Choose P.

## P
CeNpP2 after structural relaxation. Source: Alexandria via LeMat-Bulk, functional GGA-PBE.

The structure in extended XYZ format:
```
4
Lattice="3.9767 0.0000 0.0000 1.9883 3.4439 0.0000 1.9883 1.1480 6.8925" Properties=species:S:1:pos:R:3 pbc="T T T"
Ce 3.9767 2.2959 3.4967
P 1.9883 1.1480 5.2704
P 1.9883 1.1480 1.6175
Np 5.9650 3.4439 6.8468
```

Properties
Magnetic moment, Bohr magnetons per cell: 4.8

## Q
CeNpP2 after structural relaxation. Source: Alexandria via LeMat-Bulk, functional GGA-PBE.

The structure in extended XYZ format:
```
4
Lattice="-2.5987 2.9188 -0.9845 -3.7299 -0.0238 1.5263 -0.0383 4.5351 5.2978" Properties=species:S:1:pos:R:3 pbc="T T T"
Ce 0.0000 0.0000 0.0000
Np -3.1835 3.7151 2.9198
P -1.5695 1.8959 1.5149
P -4.7975 5.5342 4.3247
```

Properties
Magnetic moment, Bohr magnetons per cell: 4.4

What should be chosen as the most stable of them? Choose Q.

## P
CeNpPb2 after structural relaxation. Source: Alexandria via LeMat-Bulk, functional GGA-PBE.

The structure in extended XYZ format:
```
4
Lattice="-0.3666 2.3757 2.0861 -1.0819 -3.9748 4.3366 5.8421 -0.2095 1.2654" Properties=species:S:1:pos:R:3 pbc="T T T"
Np -0.1833 1.1879 1.0430
Pb 2.9211 -0.1048 0.6327
Pb -0.5409 -1.9874 2.1683
Ce 2.1968 -0.9043 3.8440
```

Properties
Magnetic moment, Bohr magnetons per cell: 3.6

## Q
CeNpPb2 after structural relaxation. Source: Alexandria via LeMat-Bulk, functional GGA-PBE.

The structure in extended XYZ format:
```
4
Lattice="-2.4098 -2.4496 0.6085 1.8201 -1.1036 2.7653 -4.6785 5.9581 5.4570" Properties=species:S:1:pos:R:3 pbc="T T T"
Pb -1.1511 1.4659 1.3426
Ce -2.6341 1.2025 4.4154
Pb -3.5274 4.4922 4.1143
Np -0.2949 -1.7766 1.6869
```

Properties
Magnetic moment, Bohr magnetons per cell: 3.2

What should be chosen as the most stable of them? Choose Q.